1.
A geometry-optimized AcYMoN4 structure. Source: the Alexandria database, functional PBE-GGA.

Summary:
total magnetization: 0.00 Bohr magnetons per cell

Lattice parameters (Å, degrees): 5.921 5.980 7.093 90.00 107.96 90.00
Space group P2_1/m (No. 11)
Unique sites:
Ac 0.229 0.250 0.437 x2
Y 0.314 0.250 0.968 x2
Mo 0.235 0.750 0.175 x2
N 0.036 0.750 0.336 x2
N 0.038 0.750 0.920 x2
N 0.453 0.508 0.226 x4

2.
A geometry-optimized Ac2ZnMoN4 structure. Source: the Alexandria database, functional PBE-GGA.

Summary:
total magnetization: 0.00 Bohr magnetons per cell

Lattice parameters (Å, degrees): 4.882 11.563 18.962 90.00 90.00 90.00
Space group Fddd (No. 70, origin choice 2)
Unique sites:
Ac 0.125 0.125 0.300 x16
Zn 0.125 0.125 0.125 x8
Mo 0.125 0.125 0.625 x8
N 0.116 0.263 0.828 x32

3.
A geometry-optimized AcZn2MoN4 structure. Source: the Alexandria database, functional PBE-GGA.

Summary:
total magnetization: 0.00 Bohr magnetons per cell

Lattice parameters (Å, degrees): 5.547 5.571 7.432 90.00 90.00 90.00
Space group I222 (No. 23)
Unique sites:
Ac 0.000 0.000 0.000 x2
Zn 0.000 0.500 0.250 x4
Mo 0.000 0.000 0.500 x2
N 0.196 0.195 0.348 x8

Number 1: ΔE_f (raw) -1.05 eV per atom. Number 2: ΔE_f (raw) -0.37 eV per atom. Number 3: ΔE_f (raw) -0.41 eV per atom.